# Ho5ErPd6 GGA-PBE optimized geometry
# Formation enthalpy at 0 K = -0.906 eV per atom
# Final energy = -5.7897 eV/atom
# Fermi-level density of states = 0.629 states/eV/atom
data_Ho5ErPd6
_cell_length_a 4.994
_cell_length_b 14.917
_cell_length_c 6.844
_cell_angle_alpha 90.00
_cell_angle_beta 90.00
_cell_angle_gamma 90.00
_space_group_name_H-M_alt 'C m m m'
_space_group_IT_number 65
_space_group_name_Hall '-C 2 2'
loop_
_atom_site_label
_atom_site_type_symbol
_atom_site_fract_x
_atom_site_fract_y
_atom_site_fract_z
_atom_site_occupancy
Ho1 Ho 0.000 0.000 0.000 1
Ho2 Ho 0.000 0.333 0.000 1
Ho3 Ho 0.000 0.333 0.500 1
Er1 Er 0.000 0.000 0.500 1
Pd1 Pd 0.000 0.166 0.251 1
Pd2 Pd 0.000 0.500 0.251 1